The following is a DFT calculation (PBE-GGA) of a geometry-optimized Cu2MoBr structure.

volume = 63 Å³/cell
energy relative to the elements, uncorrected = 0.70 eV/atom
total DFT energy (no corrections) = -4.47 eV/atom
symmetry = Cmmm
offset from the most stable computed form = 0.2586 eV per atom

Cell: 5.055 5.055 2.866 Å, 90.00 90.00 120.60°
Fractional coordinates of all 4 atoms:
Cu 0.000 0.500 0.000
Cu 0.500 0.000 0.000
Mo 0.000 0.000 0.500
Br 0.500 0.500 0.500